First-principles (PBE) data for a geometry-optimized Cr2InFe structure, as listed in the Alexandria database.

extended XYZ file:
```
4
Lattice="3.675 0.000 0.000 0.000 3.675 0.000 0.000 0.000 4.084" Properties=species:S:1:pos:R:3 pbc="T T T"
Cr 0.000 0.000 0.000
Cr 1.838 1.838 0.000
In 0.000 1.838 2.042
Fe 1.838 0.000 2.042
```

Values from the calculation:
Symmetry: P4/mmm, No. 123
Electronic total energy, eV/atom: -7.160
Energy relative to the elements, eV/atom: 0.452
Theoretical density, g/cm³: 8.3